Record 1
Here is a relaxed V2HgRh crystal from Alexandria via LeMat-Bulk. Energies are from PBE.

Results
ΔH_f (0 K) (meV per atom): 433
Fermi-level density of states (states/eV per cell): 11.6

Lattice parameters (Å, degrees): 7.1268 7.1268 5.7010 51.31 51.31 90.00
Element x y z (fractional)
Rh 0.5000 0.5000 0.0000
Rh 0.2500 0.7500 0.5000
Hg 0.0000 0.0000 0.0000
Hg 0.7500 0.2500 0.5000
V 0.5819 0.1250 0.2500
V 0.1681 0.6250 0.2500
V 0.3750 0.4181 0.7500
V 0.8750 0.8319 0.7500


Record 2
Here is a relaxed NpZnSnRh crystal from Alexandria via LeMat-Bulk. Energies are from PBE.

Results
ΔH_f (0 K) (meV per atom): -176
Fermi-level density of states (states/eV per cell): 6.9

Lattice parameters (Å, degrees): 4.7891 4.7891 4.7891 60.00 60.00 60.00
Each line ends with the local moment (μB).
Element x y z (fractional)
Np 0.7500 0.7500 0.7500  3.67
Zn 0.5000 0.5000 0.5000  0.03
Rh 0.0000 0.0000 0.0000  -0.26
Sn 0.2500 0.2500 0.2500  -0.01


- Among the records above, which one has the lowest Fermi-level density of states?
  NpZnSnRh